A geometry-optimized RbSb2Te2 structure, computed with PBE.

The calculation puts the density of states at the Fermi level at 2.989 states/eV per cell. Its formation energy from raw total energies is -200 meV/atom.

a = 9.423 Å, b = 9.423 Å, c = 4.049 Å
α = 90.00°, β = 90.00°, γ = 90.00°
Fractional positions:
Sb 0.371 0.871 0.000
Sb 0.871 0.629 0.000
Sb 0.629 0.129 0.000
Sb 0.129 0.371 0.000
Te 0.215 0.715 0.500
Te 0.715 0.785 0.500
Te 0.785 0.285 0.500
Te 0.285 0.215 0.500
Rb 0.000 0.000 0.000
Rb 0.500 0.500 0.000